(1)
Material: LaScIn2Te
Method: DFT, meta-GGA SCAN
State: single point on PBEsol structure

E_tot, eV/atom: -32.6194
Formation energy (no corrections), kJ/mol of formula units: -167

a = 5.3417 Å, b = 5.3417 Å, c = 5.3143 Å
α = 90.00°, β = 90.00°, γ = 90.00°
Last column: nearest neighbours and their distance in Å.
Sites, in units of the cell vectors:
La1 0.0000 0.0000 0.0000  8 In 3.77, 4 Te 3.78
Sc1 0.5000 0.5000 0.5000  2 Te 2.66, 4 In 2.67
In1 0.0000 0.5000 0.5000  2 Sc 2.67
In2 0.5000 0.0000 0.5000  2 Sc 2.67
Te1 0.5000 0.5000 0.0000  2 Sc 2.66

=====

(2)
Material: ZrFe2Pt
Method: DFT, meta-GGA SCAN
State: single point on PBEsol structure

E_tot, eV/atom: -34.7578
E_form, eV/atom: -0.470

a = 3.7930 Å, b = 3.7930 Å, c = 8.0054 Å
α = 90.00°, β = 90.00°, γ = 90.00°
Last column: nearest neighbours and their distance in Å.
Sites, in units of the cell vectors:
Zr1 0.0000 0.0000 0.0000  8 Fe 2.68-2.76, 4 Pt 2.76
Zr2 0.5000 0.5000 0.5000  8 Fe 2.68-2.76, 4 Pt 2.76
Fe1 0.0000 0.0000 0.5000  4 Zr 2.68, 4 Fe 2.76, 4 Pt 2.76
Fe2 0.0000 0.5000 0.2500  4 Pt 2.68, 4 Zr 2.76, 4 Fe 2.76
Fe3 0.5000 0.0000 0.7500  4 Pt 2.68, 4 Zr 2.76, 4 Fe 2.76
Fe4 0.5000 0.5000 0.0000  4 Zr 2.68, 4 Fe 2.76, 4 Pt 2.76
Pt1 0.0000 0.5000 0.7500  8 Fe 2.68-2.76, 4 Zr 2.76
Pt2 0.5000 0.0000 0.2500  8 Fe 2.68-2.76, 4 Zr 2.76

=====

(3)
Material: NiP2SBr
Method: DFT, meta-GGA SCAN
State: single point on PBEsol structure

E_tot, eV/atom: -12.4875
Formation energy (no corrections), kJ/mol of formula units: 349

a = 4.4795 Å, b = 4.4795 Å, c = 4.3167 Å
α = 90.00°, β = 90.00°, γ = 90.00°
Last column: nearest neighbours and their distance in Å.
Sites, in units of the cell vectors:
Ni1 0.0000 0.0000 0.0000  2 S 2.16, 4 P 2.24
P1 0.0000 0.5000 0.0000  2 Ni 2.24
P2 0.5000 0.0000 0.0000  2 Ni 2.24
S1 0.0000 0.0000 0.5000  2 Ni 2.16
Br1 0.5000 0.5000 0.5000  8 P 3.11, 4 S 3.17

=====

(4)
Material: Zn2CdTe
Method: DFT, meta-GGA SCAN
State: single point on PBEsol structure

E_tot, eV/atom: -23.5754
Formation energy (no corrections), kJ/mol of formula units: 38

a = 3.9106 Å, b = 3.8893 Å, c = 5.5978 Å
α = 90.00°, β = 106.26°, γ = 90.00°
Last column: nearest neighbours and their distance in Å.
Sites, in units of the cell vectors:
Zn1 0.0000 0.0000 0.0000  2 Zn 2.66, 1 Cd 2.86, 4 Te 2.86-2.89
Zn2 0.2331 0.5000 0.3302  2 Zn 2.66, 1 Te 2.78, 4 Cd 2.82-2.83
Cd1 0.7768 0.0000 0.4451  6 Zn 2.82-2.98
Te1 0.4349 0.5000 0.8481  6 Zn 2.78-3.02

=====

(5)
Material: BeBPd2
Method: DFT, meta-GGA SCAN
State: single point on PBEsol structure

E_tot, eV/atom: -19.4385
E_form, eV/atom: -0.106

a = 5.5304 Å, b = 5.5304 Å, c = 5.5304 Å
α = 90.00°, β = 90.00°, γ = 90.00°
Last column: nearest neighbours and their distance in Å.
Sites, in units of the cell vectors:
Be1 0.0000 0.0000 0.0000  8 Pd 2.39
Be2 0.0000 0.5000 0.5000  8 Pd 2.39
Be3 0.5000 0.0000 0.5000  8 Pd 2.39
Be4 0.5000 0.5000 0.0000  8 Pd 2.39
B1 0.0000 0.0000 0.5000  8 Pd 2.39
B2 0.0000 0.5000 0.0000  8 Pd 2.39
B3 0.5000 0.0000 0.0000  8 Pd 2.39
B4 0.5000 0.5000 0.5000  8 Pd 2.39
Pd1 0.2500 0.2500 0.2500  4 Be 2.39, 4 B 2.39
Pd2 0.2500 0.2500 0.7500  4 Be 2.39, 4 B 2.39
Pd3 0.2500 0.7500 0.2500  4 Be 2.39, 4 B 2.39
Pd4 0.2500 0.7500 0.7500  4 Be 2.39, 4 B 2.39
Pd5 0.7500 0.2500 0.2500  4 Be 2.39, 4 B 2.39
Pd6 0.7500 0.2500 0.7500  4 Be 2.39, 4 B 2.39
Pd7 0.7500 0.7500 0.2500  4 Be 2.39, 4 B 2.39
Pd8 0.7500 0.7500 0.7500  4 Be 2.39, 4 B 2.39

=====

(6)
Material: Rb2Al2Si3O10
Method: DFT, meta-GGA SCAN
State: single point on PBEsol structure

E_tot, eV/atom: -11.8377
Formation energy (no corrections), kJ/mol of formula units: -5007

a = 10.0387 Å, b = 9.3157 Å, c = 12.8919 Å
α = 50.68°, β = 45.88°, γ = 83.44°
Last column: nearest neighbours and their distance in Å.
Sites, in units of the cell vectors:
Rb1 0.2765 0.7235 0.3435  6 O 2.94-3.17
Rb2 0.5935 0.9065 0.5265  6 O 2.94-3.17
Rb3 0.7235 0.2765 0.6565  6 O 2.94-3.17
Rb4 0.9065 0.5935 0.9735  6 O 2.94-3.17
Al1 0.1610 0.8987 0.0252  4 O 1.74-1.76
Al2 0.2248 0.3349 0.0890  4 O 1.74-1.76
Al3 0.3349 0.2248 0.3513  4 O 1.74-1.76
Al4 0.8987 0.1610 0.9151  4 O 1.74-1.76
Si1 0.2021 0.3424 0.8604  4 O 1.61-1.66
Si2 0.3424 0.2021 0.5951  4 O 1.61-1.66
Si3 0.3896 0.6549 0.0479  4 O 1.61-1.66
Si4 0.6475 0.6475 0.3525  4 O 1.62-1.65
Si5 0.6549 0.3896 0.9076  4 O 1.61-1.66
Si6 0.8975 0.8975 0.6025  4 O 1.62-1.65
O1 0.0953 0.9677 0.5478  1 Si 1.62, 1 Al 1.76
O2 0.1515 0.2516 0.6722  1 Si 1.61, 1 Al 1.74
O3 0.1729 0.4093 0.9622  1 Si 1.63, 1 Al 1.76
O4 0.2516 0.1515 0.9248  1 Si 1.61, 1 Al 1.74
O5 0.2661 0.9737 0.8059  1 Si 1.63, 1 Al 1.76
O6 0.2878 0.7945 0.0771  1 Si 1.63, 1 Al 1.76
O7 0.2957 0.4441 0.2763  1 Si 1.63, 1 Al 1.76
O8 0.3252 0.5778 0.9984  1 Si 1.61, 1 Al 1.74
O9 0.4093 0.1729 0.4555  1 Si 1.63, 1 Al 1.76
O10 0.4326 0.5801 0.5763  2 Si 1.65-1.66
O11 0.4441 0.2957 0.9839  1 Si 1.63, 1 Al 1.76
O12 0.5778 0.3252 0.0985  1 Si 1.61, 1 Al 1.74
O13 0.5801 0.4326 0.4111  2 Si 1.65-1.66
O14 0.6737 0.8389 0.8174  2 Si 1.65-1.66
O15 0.7022 0.8608 0.1547  1 Si 1.62, 1 Al 1.76
O16 0.7945 0.2878 0.8407  1 Si 1.63, 1 Al 1.76
O17 0.8389 0.6737 0.6699  2 Si 1.65-1.66
O18 0.8608 0.7022 0.2823  1 Si 1.62, 1 Al 1.76
O19 0.9677 0.0953 0.3892  1 Si 1.62, 1 Al 1.76
O20 0.9737 0.2661 0.9543  1 Si 1.63, 1 Al 1.76